Entry 1:
A plane-wave DFT calculation with PBE-GGA was carried out for a geometry-optimized Pm3Ge6IrRh2 structure.

abc: 5.995 5.995 7.832
angles: 90.00 90.00 120.00
Atoms (fractional coordinates):
Ir (0.000, 0.000, 0.500)
Pm (0.000, 0.000, 0.000)
Pm (0.333, 0.667, 0.630)
Rh (0.667, 0.333, 0.972)
Ge (0.811, 0.189, 0.713)
Ge (0.189, 0.377, 0.287)
Ge (0.623, 0.811, 0.287)
Ge (0.377, 0.189, 0.713)
Rh (0.333, 0.667, 0.028)
Pm (0.667, 0.333, 0.370)
Ge (0.189, 0.811, 0.287)
Ge (0.811, 0.623, 0.713)

Computed properties:
For the density of states at the Fermi level, the calculation gives 7.163 states/eV per cell. The formation energy is -0.375 eV per atom. The density is 8.64 g cm⁻³. Its space group is P-3m1 (164). As for the total energy: -0.214 Ha/atom.


Entry 2:
A plane-wave DFT calculation with PBE-GGA was carried out for a geometry-optimized PmGeIrRh structure.

abc: 4.670 4.670 4.670
angles: 60.00 60.00 60.00
Atoms (fractional coordinates):
Pm (0.500, 0.500, 0.500)
Ge (0.000, 0.000, 0.000)
Ir (0.750, 0.750, 0.750)
Rh (0.250, 0.250, 0.250)

Computed properties:
For the density of states at the Fermi level, the calculation gives 4.645 states/eV per cell. The formation energy is -0.399 eV per atom. The density is 11.82 g cm⁻³. Its space group is F-43m (216). As for the total energy: -0.250 Ha/atom.


Entry 3:
A plane-wave DFT calculation with PBE-GGA was carried out for a geometry-optimized PmGe2IrRh2 structure.

abc: 4.654 4.654 5.586
angles: 90.00 90.00 90.00
Atoms (fractional coordinates):
Ge (0.000, 0.500, 0.000)
Pm (0.000, 0.000, 0.500)
Ge (0.500, 0.000, 0.000)
Ir (0.000, 0.000, 0.000)
Rh (0.500, 0.500, 0.253)
Rh (0.500, 0.500, 0.747)

Computed properties:
For the density of states at the Fermi level, the calculation gives 5.369 states/eV per cell. The formation energy is -0.180 eV per atom. The density is 9.45 g cm⁻³. Its space group is P4/mmm (123). As for the total energy: -0.237 Ha/atom.